Entry 1:
Material: BaNi2BrF
Method: DFT, meta-GGA SCAN
State: PBEsol geometry

extended XYZ file:
```
5
Lattice="-0.6780 2.9376 2.9631 0.7091 -2.8772 3.0146 5.7101 1.3617 -0.0435" Properties=species:S:1:pos:R:3 pbc="T T T"
Ni 0.3546 -1.4386 1.5073
Ni -0.3390 1.4688 1.4816
Ba 2.8706 0.7111 2.9671
Br 0.0000 0.0000 0.0000
F 2.8551 0.6809 -0.0218
```

Energy relative to the elements, uncorrected, eV per atom: -0.72
Uncorrected energy, eV per atom: -19.70

Entry 2:
Material: Cd3AgN
Method: DFT, meta-GGA SCAN
State: PBEsol geometry

extended XYZ file:
```
5
Lattice="5.1861 0.0000 0.0000 0.0000 5.1861 0.0000 0.0000 0.0000 5.1861" Properties=species:S:1:pos:R:3 pbc="T T T"
N 2.5931 2.5931 2.5931
Ag 0.0000 0.0000 0.0000
Cd 0.0000 2.5931 0.0000
Cd 0.0000 0.0000 2.5931
Cd 2.5931 0.0000 0.0000
```

Energy relative to the elements, uncorrected, eV per atom: 1.13
Uncorrected energy, eV per atom: -25.25

Entry 3:
Material: Ba3TeS
Method: DFT, meta-GGA SCAN
State: PBEsol geometry

extended XYZ file:
```
5
Lattice="-5.8019 0.9587 0.4038 -0.3312 -3.8715 4.4323 0.9861 4.3401 3.8646" Properties=species:S:1:pos:R:3 pbc="T T T"
S 0.0000 0.0000 0.0000
Te -2.5735 0.7136 4.3504
Ba -0.1656 -1.9357 2.2162
Ba 0.4931 2.1700 1.9323
Ba -2.9009 0.4793 0.2019
```

Energy relative to the elements, uncorrected, eV per atom: -1.32
Uncorrected energy, eV per atom: -34.43

Entry 4:
Material: FeIrO2
Method: DFT, meta-GGA SCAN
State: PBEsol geometry

extended XYZ file:
```
8
Lattice="-1.7147 -3.8987 2.1232 2.9413 -2.7026 -2.5870 2.3084 3.6346 3.2048" Properties=species:S:1:pos:R:3 pbc="T T T"
Ir 2.9315 -1.1843 0.1930
Ir 0.0000 0.0000 0.0000
Fe 0.6035 -1.7823 2.5481
Fe 0.6133 -3.3006 -0.2319
O 0.2331 -3.3947 1.6227
O 2.4543 -3.0396 -0.6001
O 2.4063 -1.3156 2.1944
O 1.9763 1.8166 2.2650
```

Energy relative to the elements, uncorrected, eV per atom: -0.26
Uncorrected energy, eV per atom: -25.68

Entry 5:
Material: Fe2HgMo
Method: DFT, meta-GGA SCAN
State: PBEsol geometry

extended XYZ file:
```
4
Lattice="2.6840 0.0138 0.0000 -0.7668 2.5722 0.0000 0.0000 0.0000 8.3797" Properties=species:S:1:pos:R:3 pbc="T T T"
Fe 0.0000 0.0000 1.9547
Fe 0.0000 0.0000 6.4251
Hg 0.9586 1.2930 4.1899
Mo 0.9586 1.2930 0.0000
```

Formation enthalpy at 0 K, eV/atom: 0.334
Uncorrected energy, eV per atom: -34.49

Entry 6:
Material: NaZrPCl2
Method: DFT, meta-GGA SCAN
State: PBEsol geometry

extended XYZ file:
```
5
Lattice="4.4696 0.0000 0.0000 0.0000 4.4696 0.0000 0.0000 0.0000 5.3802" Properties=species:S:1:pos:R:3 pbc="T T T"
P 0.0000 0.0000 2.6901
Na 0.0000 0.0000 0.0000
Zr 2.2348 2.2348 2.6901
Cl 0.0000 2.2348 0.0000
Cl 2.2348 0.0000 0.0000
```

Energy relative to the elements, uncorrected, eV per atom: -0.15
Relative energy among the computed polymorphs, eV/atom: 1.071
Uncorrected energy, eV per atom: -12.41

Entry 7:
Material: Sc2Si2Ir
Method: DFT, meta-GGA SCAN
State: PBEsol geometry

extended XYZ file:
```
10
Lattice="-3.1118 0.0248 -2.7154 1.4855 -5.8165 -1.7554 -3.8347 -2.2993 4.3735" Properties=species:S:1:pos:R:3 pbc="T T T"
Sc -3.8786 -2.5377 1.2808
Sc -3.7298 -5.8020 1.0805
Sc -1.5824 -5.5533 -1.3781
Sc -1.7312 -2.2889 -1.1778
Si -2.7756 -4.1144 3.1432
Si -1.1484 -6.4924 1.2569
Si 0.4263 -4.0013 -0.5251
Si -1.2008 -1.6233 1.3613
Ir 0.0000 0.0000 0.0000
Ir -1.1746 -4.0579 1.3091
```

Energy relative to the elements, uncorrected, eV per atom: -1.12
Uncorrected energy, eV per atom: -25.04

Entry 8:
Material: MnAlPt
Method: DFT, meta-GGA SCAN
State: PBEsol geometry

extended XYZ file:
```
3
Lattice="-2.0225 -0.9063 1.6505 0.2325 -3.3797 -1.5709 3.6411 1.0474 2.7236" Properties=species:S:1:pos:R:3 pbc="T T T"
Mn 0.0100 -2.5040 0.9506
Al 1.8438 -3.2357 2.7960
Pt 1.8482 -0.7374 1.8599
```

Formation enthalpy at 0 K, eV/atom: -0.829
Uncorrected energy, eV per atom: -32.90

- The highest uncorrected energy belongs to which entry?
  NaZrPCl2

- The highest uncorrected energy belongs to which entry?
  NaZrPCl2

- What is the uncorrected energy in the eighth record?
  -32.90 eV per atom